This record from Alexandria describes InTeMoF2 after structural relaxation. The functional is GGA+U.

* total moment: 3.562 μB per cell
* electronic total energy: -23.1 eV/f.u.
* crystal system: tetragonal

Lattice parameters (Å, degrees): 4.357 4.357 6.164 90.00 90.00 90.00
Space group P4/mmm (No. 123)
Unique sites:
In 0.000 0.000 0.000 [1 per cell]
Te 0.500 0.500 0.000 [1 per cell]
Mo 0.500 0.500 0.500 [1 per cell]
F 0.000 0.500 0.500 [2 per cell]

This record from Alexandria describes TlIn2MoF8 after structural relaxation. The functional is GGA+U.

* total moment: 2.995 μB per cell
* electronic total energy: -56.8 eV/f.u.
* crystal system: triclinic

Lattice parameters (Å, degrees): 5.614 5.948 6.531 89.42 89.37 82.61
Space group P-1 (No. 2)
Unique sites:
Tl 0.000 0.000 0.000 [1 per cell]
In 0.458 0.458 0.283 [2 per cell]
Mo 0.000 0.000 0.500 [1 per cell]
F 0.130 0.725 0.308 [2 per cell]
F 0.187 0.223 0.333 [2 per cell]
F 0.298 0.882 0.685 [2 per cell]
F 0.359 0.364 0.966 [2 per cell]